This record from Alexandria describes a geometry-optimized NiTeO2 structure. The functional is PBE+U.

Structure (POSCAR):
```
NiTeO2
1.0
1.5734 0.9084 6.2118
-1.5734 0.9084 6.2118
0.0000 -1.8168 6.2118
Ni Te O
1 1 2
direct
0.0000 0.0000 0.0000 Ni
0.5000 0.5000 0.5000 Te
0.3894 0.3894 0.3894 O
0.6106 0.6106 0.6106 O
```

## Properties
**N(E_F)**: 0.8 states/eV per cell
**VASP energy**: -4.695 eV/atom